# 1
! Ac2Cu2AgO6, optimized geometry, DFT PBE; values from VASP
&SYSTEM
  ibrav = 0, nat = 11, ntyp = 4
/
ATOMIC_SPECIES
Ac 227.00 Ac.upf
Cu 63.55 Cu.upf
Ag 107.87 Ag.upf
O 16.00 O.upf
CELL_PARAMETERS angstrom
2.9591 1.7084 5.4572
-2.9591 1.7084 5.4572
0.0000 -3.4169 5.4572
ATOMIC_POSITIONS crystal
Ac 0.2155 0.2155 0.2155
Ac 0.7845 0.7845 0.7845
Cu 0.4225 0.4225 0.4225
Cu 0.5775 0.5775 0.5775
Ag 0.0000 0.0000 0.0000
O 0.2085 0.7525 0.7525
O 0.2475 0.2475 0.7915
O 0.2475 0.7915 0.2475
O 0.7525 0.2085 0.7525
O 0.7525 0.7525 0.2085
O 0.7915 0.2475 0.2475
! Size of the total moment = 0.00 Bohr magnetons per cell
! Calculated total energy = -5.936 eV per atom

# 2
! BaZn3Sb, optimized geometry, DFT PBE; values from VASP
&SYSTEM
  ibrav = 0, nat = 5, ntyp = 3
/
ATOMIC_SPECIES
Ba 137.33 Ba.upf
Zn 65.41 Zn.upf
Sb 121.76 Sb.upf
CELL_PARAMETERS angstrom
5.3849 0.0000 0.0000
0.0000 5.3849 0.0000
0.0000 0.0000 5.3849
ATOMIC_POSITIONS crystal
Ba 0.0000 0.0000 0.0000
Zn 0.0000 0.5000 0.5000
Zn 0.5000 0.0000 0.5000
Zn 0.5000 0.5000 0.0000
Sb 0.5000 0.5000 0.5000
! Size of the total moment = 0.00 Bohr magnetons per cell
! Calculated total energy = -1.842 eV per atom

# 3
! BaNaSI, optimized geometry, DFT PBE; values from VASP
&SYSTEM
  ibrav = 0, nat = 8, ntyp = 4
/
ATOMIC_SPECIES
Ba 137.33 Ba.upf
Na 22.99 Na.upf
S 32.06 S.upf
I 126.90 I.upf
CELL_PARAMETERS angstrom
2.3807 1.3745 15.4560
-2.3807 1.3745 15.4560
0.0000 -2.7490 15.4560
ATOMIC_POSITIONS crystal
Ba 0.0791 0.0791 0.0791
Ba 0.9209 0.9209 0.9209
Na 0.3133 0.3133 0.3133
Na 0.6867 0.6867 0.6867
S 0.3742 0.3742 0.3742
S 0.6258 0.6258 0.6258
I 0.2101 0.2101 0.2101
I 0.7899 0.7899 0.7899
! Size of the total moment = 0.00 Bohr magnetons per cell
! Calculated total energy = -3.779 eV per atom

# 4
! Tb6Nd3Y2Mg, optimized geometry, DFT PBE; values from VASP
&SYSTEM
  ibrav = 0, nat = 12, ntyp = 4
/
ATOMIC_SPECIES
Tb 158.93 Tb.upf
Nd 144.24 Nd.upf
Y 88.91 Y.upf
Mg 24.30 Mg.upf
CELL_PARAMETERS angstrom
3.0981 -5.3707 0.0000
3.0981 5.3707 0.0000
-2.0782 0.0000 11.6214
ATOMIC_POSITIONS crystal
Tb 0.0812 0.4132 0.2454
Tb 0.2505 0.2505 0.7539
Tb 0.4132 0.0812 0.2454
Tb 0.5868 0.9188 0.7546
Tb 0.7495 0.7495 0.2461
Tb 0.9188 0.5868 0.7546
Nd 0.1661 0.8339 0.5000
Nd 0.5000 0.5000 0.5000
Nd 0.8339 0.1661 0.5000
Y 0.3336 0.6664 0.0000
Y 0.6664 0.3336 0.0000
Mg 0.0000 0.0000 0.0000
! Size of the total moment = 0.00 Bohr magnetons per cell
! Calculated total energy = -4.687 eV per atom
! Formation energy = 0.030 eV/atom

# 5
! ThBC, optimized geometry, DFT PBE; values from VASP
&SYSTEM
  ibrav = 0, nat = 3, ntyp = 3
/
ATOMIC_SPECIES
Th 232.04 Th.upf
B 10.81 B.upf
C 12.01 C.upf
CELL_PARAMETERS angstrom
3.1255 0.0000 0.0000
-1.5628 2.7068 0.0000
0.0000 0.0000 4.3166
ATOMIC_POSITIONS crystal
Th 0.0000 0.0000 0.0000
B 0.6667 0.3333 0.5000
C 0.3333 0.6667 0.5000
! Size of the total moment = 0.00 Bohr magnetons per cell
! Calculated total energy = -7.851 eV per atom
! Formation energy = -0.077 eV/atom

# 6
! CsSrPb2, optimized geometry, DFT PBE; values from VASP
&SYSTEM
  ibrav = 0, nat = 4, ntyp = 3
/
ATOMIC_SPECIES
Cs 132.91 Cs.upf
Sr 87.62 Sr.upf
Pb 207.20 Pb.upf
CELL_PARAMETERS angstrom
4.3357 0.0000 0.0000
0.0000 4.3357 0.0000
0.0000 0.0000 8.9505
ATOMIC_POSITIONS crystal
Cs 0.0000 0.0000 0.0000
Sr 0.0000 0.0000 0.5000
Pb 0.5000 0.5000 0.3083
Pb 0.5000 0.5000 0.6917
! Size of the total moment = 0.00 Bohr magnetons per cell
! Calculated total energy = -2.779 eV per atom
! Formation energy = -0.291 eV/atom

# 7
! HoScGa2, optimized geometry, DFT PBE; values from VASP
&SYSTEM
  ibrav = 0, nat = 4, ntyp = 3
/
ATOMIC_SPECIES
Ho 164.93 Ho.upf
Sc 44.96 Sc.upf
Ga 69.72 Ga.upf
CELL_PARAMETERS angstrom
0.0000 3.4595 3.4595
3.4595 0.0000 3.4595
3.4595 3.4595 0.0000
ATOMIC_POSITIONS crystal
Ho 0.0000 0.0000 0.0000
Sc 0.5000 0.5000 0.5000
Ga 0.2500 0.2500 0.2500
Ga 0.7500 0.7500 0.7500
! Size of the total moment = 0.00 Bohr magnetons per cell
! Calculated total energy = -4.819 eV per atom
! Formation energy = -0.578 eV/atom

# 8
! ScMnSi2, optimized geometry, DFT PBE; values from VASP
&SYSTEM
  ibrav = 0, nat = 48, ntyp = 3
/
ATOMIC_SPECIES
Sc 44.96 Sc.upf
Mn 54.94 Mn.upf
Si 28.09 Si.upf
CELL_PARAMETERS angstrom
9.0403 0.0000 0.0000
0.0000 9.7460 0.0000
0.0000 0.0000 7.8914
ATOMIC_POSITIONS crystal
Sc 0.1682 0.1762 0.0000
Sc 0.1721 0.4520 0.2466
Sc 0.1721 0.4520 0.7534
Sc 0.3279 0.9520 0.2466
Sc 0.3279 0.9520 0.7534
Sc 0.3318 0.6762 0.0000
Sc 0.6682 0.3238 0.0000
Sc 0.6721 0.0480 0.2466
Sc 0.6721 0.0480 0.7534
Sc 0.8279 0.5480 0.2466
Sc 0.8279 0.5480 0.7534
Sc 0.8318 0.8238 0.0000
Mn 0.0000 0.0000 0.2453
Mn 0.0000 0.0000 0.7547
Mn 0.0805 0.7457 0.2490
Mn 0.0805 0.7457 0.7510
Mn 0.4195 0.2457 0.2490
Mn 0.4195 0.2457 0.7510
Mn 0.5000 0.5000 0.2453
Mn 0.5000 0.5000 0.7547
Mn 0.5805 0.7543 0.2490
Mn 0.5805 0.7543 0.7510
Mn 0.9195 0.2543 0.2490
Mn 0.9195 0.2543 0.7510
Si 0.0378 0.6220 0.0000
Si 0.0404 0.6260 0.5000
Si 0.1103 0.8903 0.5000
Si 0.1257 0.8893 0.0000
Si 0.1680 0.1812 0.3480
Si 0.1680 0.1812 0.6520
Si 0.3320 0.6812 0.3480
Si 0.3320 0.6812 0.6520
Si 0.3743 0.3893 0.0000
Si 0.3897 0.3903 0.5000
Si 0.4596 0.1260 0.5000
Si 0.4622 0.1220 0.0000
Si 0.5378 0.8780 0.0000
Si 0.5404 0.8740 0.5000
Si 0.6103 0.6097 0.5000
Si 0.6257 0.6107 0.0000
Si 0.6680 0.3188 0.3480
Si 0.6680 0.3188 0.6520
Si 0.8320 0.8188 0.3480
Si 0.8320 0.8188 0.6520
Si 0.8743 0.1107 0.0000
Si 0.8897 0.1097 0.5000
Si 0.9596 0.3740 0.5000
Si 0.9622 0.3780 0.0000
! Size of the total moment = 9.61 Bohr magnetons per cell
! Calculated total energy = -7.239 eV per atom

# 9
! Pm8Nd2Y, optimized geometry, DFT PBE; values from VASP
&SYSTEM
  ibrav = 0, nat = 11, ntyp = 3
/
ATOMIC_SPECIES
Pm 145.00 Pm.upf
Nd 144.24 Nd.upf
Y 88.91 Y.upf
CELL_PARAMETERS angstrom
9.2971 -2.5820 0.0000
9.2971 2.5820 0.0000
-2.1533 0.0000 7.8792
ATOMIC_POSITIONS crystal
Pm 0.0453 0.0453 0.2278
Pm 0.1360 0.1360 0.6805
Pm 0.3186 0.3186 0.5909
Pm 0.4097 0.4097 0.0467
Pm 0.5903 0.5903 0.9533
Pm 0.6814 0.6814 0.4091
Pm 0.8640 0.8640 0.3195
Pm 0.9547 0.9547 0.7722
Nd 0.2269 0.2269 0.1368
Nd 0.7731 0.7731 0.8632
Y 0.5000 0.5000 0.5000
! Size of the total moment = 0.00 Bohr magnetons per cell
! Calculated total energy = -4.896 eV per atom
! Formation energy = 0.013 eV/atom

# 10
! ZrMnSi2, optimized geometry, DFT PBE; values from VASP
&SYSTEM
  ibrav = 0, nat = 4, ntyp = 3
/
ATOMIC_SPECIES
Zr 91.22 Zr.upf
Mn 54.94 Mn.upf
Si 28.09 Si.upf
CELL_PARAMETERS angstrom
3.1683 0.0000 0.0000
0.0000 4.0407 0.0000
-0.0709 0.0000 4.8593
ATOMIC_POSITIONS crystal
Zr 0.0000 0.0000 0.0000
Mn 0.5000 0.0000 0.5000
Si 0.4881 0.5000 0.7443
Si 0.5119 0.5000 0.2557
! Size of the total moment = 0.00 Bohr magnetons per cell
! Calculated total energy = -7.515 eV per atom

# 11
! Ce2SiTc, optimized geometry, DFT PBE; values from VASP
&SYSTEM
  ibrav = 0, nat = 4, ntyp = 3
/
ATOMIC_SPECIES
Ce 140.12 Ce.upf
Si 28.09 Si.upf
Tc 98.00 Tc.upf
CELL_PARAMETERS angstrom
3.7061 0.0000 0.0000
0.0000 3.7061 0.0000
0.0000 0.0000 6.0855
ATOMIC_POSITIONS crystal
Ce 0.0000 0.0000 0.2361
Ce 0.0000 0.0000 0.7639
Si 0.5000 0.5000 0.0000
Tc 0.5000 0.5000 0.5000
! Size of the total moment = 0.00 Bohr magnetons per cell
! Calculated total energy = -7.214 eV per atom

# 12
! BeZnIn2, optimized geometry, DFT PBE; values from VASP
&SYSTEM
  ibrav = 0, nat = 4, ntyp = 3
/
ATOMIC_SPECIES
Be 9.01 Be.upf
Zn 65.41 Zn.upf
In 114.82 In.upf
CELL_PARAMETERS angstrom
-2.1526 2.1526 4.1205
2.1526 -2.1526 4.1205
2.1526 2.1526 -4.1205
ATOMIC_POSITIONS crystal
Be 0.0000 0.0000 0.0000
Zn 0.5000 0.5000 0.0000
In 0.2500 0.7500 0.5000
In 0.7500 0.2500 0.5000
! Size of the total moment = 0.00 Bohr magnetons per cell
! Calculated total energy = -2.207 eV per atom
! Formation energy = 0.412 eV/atom

# 13
! SnHgPdF6, optimized geometry, DFT PBE; values from VASP
&SYSTEM
  ibrav = 0, nat = 9, ntyp = 4
/
ATOMIC_SPECIES
Sn 118.71 Sn.upf
Hg 200.59 Hg.upf
Pd 106.42 Pd.upf
F 19.00 F.upf
CELL_PARAMETERS angstrom
2.9785 -5.1180 0.0000
2.9785 5.1180 0.0000
-0.0107 0.0000 5.7281
ATOMIC_POSITIONS crystal
Sn 0.0000 0.0000 0.0000
Hg 0.6656 0.3344 0.5000
Pd 0.3316 0.6684 0.0000
F 0.0172 0.2838 0.7957
F 0.0316 0.7301 0.1952
F 0.2699 0.9684 0.8048
F 0.2790 0.3035 0.1848
F 0.6965 0.7210 0.8152
F 0.7162 0.9828 0.2043
! Size of the total moment = 1.42 Bohr magnetons per cell
! Calculated total energy = -3.957 eV per atom

# 14
! Pm7IrI12, optimized geometry, DFT PBE; values from VASP
&SYSTEM
  ibrav = 0, nat = 20, ntyp = 3
/
ATOMIC_SPECIES
Pm 145.00 Pm.upf
Ir 192.22 Ir.upf
I 126.90 I.upf
CELL_PARAMETERS angstrom
8.0397 4.6417 3.7345
-8.0397 4.6417 3.7345
0.0000 -9.2835 3.7345
ATOMIC_POSITIONS crystal
Pm 0.0000 0.0000 0.0000
Pm 0.2000 0.4025 0.4770
Pm 0.4025 0.4770 0.2000
Pm 0.4770 0.2000 0.4025
Pm 0.5230 0.8000 0.5975
Pm 0.5975 0.5230 0.8000
Pm 0.8000 0.5975 0.5230
Ir 0.5000 0.5000 0.5000
I 0.0354 0.3391 0.1150
I 0.1150 0.0354 0.3391
I 0.1782 0.7250 0.5721
I 0.2750 0.4279 0.8218
I 0.3391 0.1150 0.0354
I 0.4279 0.8218 0.2750
I 0.5721 0.1782 0.7250
I 0.6609 0.8850 0.9646
I 0.7250 0.5721 0.1782
I 0.8218 0.2750 0.4279
I 0.8850 0.9646 0.6609
I 0.9646 0.6609 0.8850
! Size of the total moment = 0.00 Bohr magnetons per cell
! Calculated total energy = -4.333 eV per atom

# 15
! Cr2MoSe, optimized geometry, DFT PBE; values from VASP
&SYSTEM
  ibrav = 0, nat = 4, ntyp = 3
/
ATOMIC_SPECIES
Cr 52.00 Cr.upf
Mo 95.94 Mo.upf
Se 78.96 Se.upf
CELL_PARAMETERS angstrom
3.1283 0.0000 0.0000
0.0000 3.1283 0.0000
0.0000 0.0000 5.8074
ATOMIC_POSITIONS crystal
Cr 0.0000 0.0000 0.2444
Cr 0.0000 0.0000 0.7556
Mo 0.5000 0.5000 0.0000
Se 0.5000 0.5000 0.5000
! Size of the total moment = 2.03 Bohr magnetons per cell
! Calculated total energy = -8.172 eV per atom

# 16
! FeMo3S, optimized geometry, DFT PBE; values from VASP
&SYSTEM
  ibrav = 0, nat = 5, ntyp = 3
/
ATOMIC_SPECIES
Fe 55.84 Fe.upf
Mo 95.94 Mo.upf
S 32.06 S.upf
CELL_PARAMETERS angstrom
4.4718 0.0000 0.0000
0.0000 4.4718 0.0000
0.0000 0.0000 4.4718
ATOMIC_POSITIONS crystal
Fe 0.0000 0.0000 0.0000
Mo 0.0000 0.0000 0.5000
Mo 0.0000 0.5000 0.0000
Mo 0.5000 0.0000 0.0000
S 0.5000 0.5000 0.5000
! Size of the total moment = 0.00 Bohr magnetons per cell
! Calculated total energy = -7.658 eV per atom

# 17
! LiAl2Se, optimized geometry, DFT PBE; values from VASP
&SYSTEM
  ibrav = 0, nat = 4, ntyp = 3
/
ATOMIC_SPECIES
Li 6.94 Li.upf
Al 26.98 Al.upf
Se 78.96 Se.upf
CELL_PARAMETERS angstrom
0.0000 3.3353 3.3353
3.3353 0.0000 3.3353
3.3353 3.3353 0.0000
ATOMIC_POSITIONS crystal
Li 0.0000 0.0000 0.0000
Al 0.5000 0.5000 0.5000
Al 0.7500 0.7500 0.7500
Se 0.2500 0.2500 0.2500
! Size of the total moment = 0.00 Bohr magnetons per cell
! Calculated total energy = -3.233 eV per atom

# 18
! Hf2ThSc, optimized geometry, DFT PBE; values from VASP
&SYSTEM
  ibrav = 0, nat = 4, ntyp = 3
/
ATOMIC_SPECIES
Hf 178.49 Hf.upf
Th 232.04 Th.upf
Sc 44.96 Sc.upf
CELL_PARAMETERS angstrom
4.6346 0.0000 0.0000
0.0000 4.6346 0.0000
0.0000 0.0000 4.6175
ATOMIC_POSITIONS crystal
Hf 0.0000 0.5000 0.0000
Hf 0.5000 0.0000 0.0000
Th 0.0000 0.0000 0.5000
Sc 0.5000 0.5000 0.5000
! Size of the total moment = 0.00 Bohr magnetons per cell
! Calculated total energy = -8.327 eV per atom
! Formation energy = 0.088 eV/atom

# 19
! Li3Mg2Sc2, optimized geometry, DFT PBE; values from VASP
&SYSTEM
  ibrav = 0, nat = 7, ntyp = 3
/
ATOMIC_SPECIES
Li 6.94 Li.upf
Mg 24.30 Mg.upf
Sc 44.96 Sc.upf
CELL_PARAMETERS angstrom
1.5752 -15.9056 0.0000
1.5752 15.9056 0.0000
0.0000 0.0000 3.0755
ATOMIC_POSITIONS crystal
Li 0.0000 0.0000 0.0000
Li 0.4356 0.5644 0.5000
Li 0.5644 0.4356 0.5000
Mg 0.1320 0.8680 0.0000
Mg 0.8680 0.1320 0.0000
Sc 0.2931 0.7069 0.5000
Sc 0.7069 0.2931 0.5000
! Size of the total moment = 0.95 Bohr magnetons per cell
! Calculated total energy = -3.026 eV per atom
! Formation energy = 0.058 eV/atom

# 20
! BeSb2Se, optimized geometry, DFT PBE; values from VASP
&SYSTEM
  ibrav = 0, nat = 4, ntyp = 3
/
ATOMIC_SPECIES
Be 9.01 Be.upf
Sb 121.76 Sb.upf
Se 78.96 Se.upf
CELL_PARAMETERS angstrom
3.8787 -3.8754 0.0000
3.8787 3.8754 0.0000
-0.3630 0.0000 3.2339
ATOMIC_POSITIONS crystal
Be 0.0000 0.0000 0.0000
Sb 0.0000 0.5000 0.0000
Sb 0.5000 0.0000 0.0000
Se 0.5000 0.5000 0.0000
! Size of the total moment = 0.00 Bohr magnetons per cell
! Calculated total energy = -3.524 eV per atom

no.,calculated volume (Å³/cell)
1,165.5
2,156.1
3,303.5
4,386.7
5,36.5
6,168.3
7,82.8
8,695.3
9,378.3
10,62.2
11,83.6
12,76.4
13,174.6
14,836.2
15,56.8
16,89.4
17,74.2
18,99.2
19,154.1
20,97.2